VASP calculation (PBE) on a relaxed P2SeO2 crystal.

Lattice parameters (Å, degrees): 4.826 4.826 3.638 90.00 90.00 90.00
Element x y z (fractional)
P (0.000, 0.500, 0.000)
P (0.500, 0.000, 0.000)
O (0.500, 0.500, 0.500)
O (0.000, 0.000, 0.500)
Se (0.000, 0.000, 0.000)

Uncorrected formation energy, eV per formula unit: 5.57
ΔE to the lowest computed polymorph, eV/atom: 1.515



VASP calculation (PBE) on a relaxed PSe3O crystal.

Lattice parameters (Å, degrees): 4.478 4.478 4.478 90.00 90.00 90.00
Element x y z (fractional)
P (0.500, 0.500, 0.500)
O (0.000, 0.000, 0.000)
Se (0.000, 0.500, 0.000)
Se (0.000, 0.000, 0.500)
Se (0.500, 0.000, 0.000)

Uncorrected formation energy, eV per formula unit: 3.92
ΔE to the lowest computed polymorph, eV/atom: 0.000